1.
Material: PuTi2Ga
Method: DFT, PBE
State: relaxed

a = 4.755 Å, b = 4.755 Å, c = 3.096 Å
α = 90.00°, β = 90.00°, γ = 90.00°
Space group P4/mmm (No. 123)
Inequivalent atoms, fractional coordinates:
Pu1 0.000 0.000 0.000
Ti1 0.000 0.500 0.500
Ga1 0.500 0.500 0.000

- Total magnetization: 4.76 μB per formula unit
- Energy: -33.75 eV per formula unit

=====

2.
Material: PuTiGa
Method: DFT, PBE
State: relaxed

a = 3.464 Å, b = 3.464 Å, c = 8.923 Å
α = 90.00°, β = 90.00°, γ = 90.00°
Space group P4/nmm (No. 129, origin choice 2)
Inequivalent atoms, fractional coordinates:
Pu1 0.250 0.250 0.054
Ti1 0.250 0.750 0.500
Ga1 0.250 0.250 0.741

- Total magnetization: 0.97 μB per formula unit
- Energy: -24.53 eV per formula unit

=====

3.
Material: PuTiGa2
Method: DFT, PBE
State: relaxed

a = 4.261 Å, b = 4.261 Å, c = 4.276 Å
α = 90.00°, β = 90.00°, γ = 90.00°
Space group P4/mmm (No. 123)
Inequivalent atoms, fractional coordinates:
Pu1 0.000 0.000 0.000
Ti1 0.500 0.500 0.000
Ga1 0.000 0.500 0.500

- Total magnetization: 6.74 μB per formula unit
- Energy: -29.09 eV per formula unit

=====

4.
Material: Pu2TiGa
Method: DFT, PBE
State: relaxed

a = 4.170 Å, b = 4.170 Å, c = 4.624 Å
α = 90.00°, β = 90.00°, γ = 90.00°
Space group P4/mmm (No. 123)
Inequivalent atoms, fractional coordinates:
Pu1 0.000 0.500 0.000
Ti1 0.000 0.000 0.500
Ga1 0.500 0.500 0.500

- Total magnetization: 9.92 μB per formula unit
- Energy: -40.12 eV per formula unit

=====

5.
Material: PuTi2Ga
Method: DFT, PBE
State: relaxed

a = 3.151 Å, b = 3.151 Å, c = 7.374 Å
α = 90.00°, β = 90.00°, γ = 90.00°
Space group P4/mmm (No. 123)
Inequivalent atoms, fractional coordinates:
Pu1 0.000 0.000 0.000
Ti1 0.500 0.500 0.280
Ga1 0.000 0.000 0.500

- Total magnetization: 5.26 μB per formula unit
- Energy: -33.61 eV per formula unit

=====

6.
Material: PuTiVGa
Method: DFT, PBE
State: relaxed

a = 6.492 Å, b = 6.492 Å, c = 6.492 Å
α = 90.00°, β = 90.00°, γ = 90.00°
Space group F-43m (No. 216)
Inequivalent atoms, fractional coordinates:
Pu1 0.000 0.000 0.000
Ti1 0.250 0.250 0.250
V1 0.250 0.250 0.750
Ga1 0.000 0.000 0.500

- Total magnetization: 6.72 μB per formula unit
- Energy: -34.47 eV per formula unit

=====

7.
Material: PuTiZnGa
Method: DFT, PBE
State: relaxed

a = 6.760 Å, b = 6.760 Å, c = 6.760 Å
α = 90.00°, β = 90.00°, γ = 90.00°
Space group F-43m (No. 216)
Inequivalent atoms, fractional coordinates:
Pu1 0.000 0.000 0.000
Ti1 0.000 0.000 0.500
Zn1 0.250 0.250 0.250
Ga1 0.250 0.250 0.750

- Total magnetization: 6.28 μB per formula unit
- Energy: -27.07 eV per formula unit

=====

8.
Material: Pu2TlGa
Method: DFT, PBE
State: relaxed

a = 3.3712 Å, b = 3.3712 Å, c = 31.3172 Å
α = 90.00°, β = 90.00°, γ = 120.00°
Space group R-3m (No. 166, hexagonal axes)
Inequivalent atoms, fractional coordinates:
Pu1 0.0000 0.0000 0.2431
Tl1 0.0000 0.0000 0.0000
Ga1 0.0000 0.0000 0.5000

- Total magnetization: 11.71 μB per formula unit
- Energy: -34.04 eV per formula unit

=====

9.
Material: Pu4TlGa3
Method: DFT, PBE
State: relaxed

a = 3.573 Å, b = 5.201 Å, c = 10.445 Å
α = 90.00°, β = 90.00°, γ = 90.00°
Space group Pmmm (No. 47)
Inequivalent atoms, fractional coordinates:
Pu1 0.000 0.000 0.000
Pu2 0.000 0.000 0.500
Pu3 0.000 0.500 0.236
Tl1 0.500 0.500 0.500
Ga1 0.500 0.000 0.249
Ga2 0.500 0.500 0.000

- Total magnetization: 11.85 μB per formula unit
- Energy: -70.02 eV per formula unit

=====

10.
Material: PuTlGa4
Method: DFT, PBE
State: relaxed

a = 7.982 Å, b = 7.982 Å, c = 7.982 Å
α = 90.00°, β = 90.00°, γ = 90.00°
Space group F-43m (No. 216)
Inequivalent atoms, fractional coordinates:
Pu1 0.000 0.000 0.000
Tl1 0.250 0.250 0.250
Ga1 0.126 0.126 0.626

- Total magnetization: 6.00 μB per formula unit
- Energy: -29.37 eV per formula unit

=====

11.
Material: PuTl2Ga
Method: DFT, PBE
State: relaxed

a = 3.3544 Å, b = 3.3544 Å, c = 34.5835 Å
α = 90.00°, β = 90.00°, γ = 120.00°
Space group R-3m (No. 166, hexagonal axes)
Inequivalent atoms, fractional coordinates:
Pu1 0.0000 0.0000 0.0000
Tl1 0.0000 0.0000 0.0939
Ga1 0.0000 0.0000 0.5000

- Total magnetization: 6.34 μB per formula unit
- Energy: -21.05 eV per formula unit

=====

12.
Material: Pu5Tl3Ga3
Method: DFT, PBE
State: relaxed

a = 10.3030 Å, b = 10.3030 Å, c = 3.0880 Å
α = 90.00°, β = 90.00°, γ = 120.00°
Space group P-62m (No. 189)
Inequivalent atoms, fractional coordinates:
Pu1 0.0000 0.3350 0.0000
Pu2 0.3333 0.6667 0.0000
Tl1 0.0000 0.6134 0.5000
Ga1 0.0000 0.8528 0.0000

- Total magnetization: 6.02 μB per formula unit
- Energy: -85.83 eV per formula unit

=====

no.,formation energy from the elements (meV/atom)
1,-151
2,243
3,-204
4,-134
5,-115
6,-24
7,-136
8,4
9,-156
10,-94
11,261
12,182